i.
Crystalline Nb3GaRu at its relaxed geometry. Source: Alexandria, functional PBE-GGA.

Cell and atoms, written as CIF:
```
data_Nb3GaRu
_space_group_name_H-M_alt 'P m -3 m'
_space_group_IT_number 221
_space_group_name_Hall '-P 4 2 3'
_cell_length_a 4.677
_cell_length_b 4.677
_cell_length_c 4.677
_cell_angle_alpha 90.00
_cell_angle_beta 90.00
_cell_angle_gamma 90.00
loop_
_atom_site_label
_atom_site_fract_x
_atom_site_fract_y
_atom_site_fract_z
_atom_site_occupancy
Nb1 0.000 0.000 0.500 1
Ga1 0.000 0.000 0.000 1
Ru1 0.500 0.500 0.500 1
```

=====

ii.
Crystalline Nb3GaRu at its relaxed geometry. Source: Alexandria, functional PBE-GGA.

Cell and atoms, written as CIF:
```
data_Nb3GaRu
_space_group_name_H-M_alt 'P m -3 m'
_space_group_IT_number 221
_space_group_name_Hall '-P 4 2 3'
_cell_length_a 4.801
_cell_length_b 4.801
_cell_length_c 4.801
_cell_angle_alpha 90.00
_cell_angle_beta 90.00
_cell_angle_gamma 90.00
loop_
_atom_site_label
_atom_site_fract_x
_atom_site_fract_y
_atom_site_fract_z
_atom_site_occupancy
Nb1 0.000 0.000 0.500 1
Ga1 0.500 0.500 0.500 1
Ru1 0.000 0.000 0.000 1
```

=====

What should be chosen as the least stable of them? Choose i.

=====

i.
Crystalline Nb2GaRu3 at its relaxed geometry. Source: Alexandria, functional PBE-GGA.

Cell and atoms, written as CIF:
```
data_Nb2GaRu3
_space_group_name_H-M_alt 'P 4/m m m'
_space_group_IT_number 123
_space_group_name_Hall '-P 4 2'
_cell_length_a 3.151
_cell_length_b 3.151
_cell_length_c 9.305
_cell_angle_alpha 90.00
_cell_angle_beta 90.00
_cell_angle_gamma 90.00
loop_
_atom_site_label
_atom_site_fract_x
_atom_site_fract_y
_atom_site_fract_z
_atom_site_occupancy
Nb1 0.000 0.000 0.174 1
Ga1 0.000 0.000 0.500 1
Ru1 0.500 0.500 0.000 1
Ru2 0.500 0.500 0.341 1
```

=====

ii.
Crystalline Nb2GaRu3 at its relaxed geometry. Source: Alexandria, functional PBE-GGA.

Cell and atoms, written as CIF:
```
data_Nb2GaRu3
_space_group_name_H-M_alt 'C m m m'
_space_group_IT_number 65
_space_group_name_Hall '-C 2 2'
_cell_length_a 4.354
_cell_length_b 13.175
_cell_length_c 3.223
_cell_angle_alpha 90.00
_cell_angle_beta 90.00
_cell_angle_gamma 90.00
loop_
_atom_site_label
_atom_site_fract_x
_atom_site_fract_y
_atom_site_fract_z
_atom_site_occupancy
Nb1 0.000 0.163 0.000 1
Ga1 0.000 0.500 0.000 1
Ru1 0.000 0.000 0.500 1
Ru2 0.000 0.334 0.500 1
```

=====

What should be chosen as the least stable of them? Choose ii.

=====

i.
Crystalline NbGaS3 at its relaxed geometry. Source: Alexandria, functional PBE-GGA.

Cell and atoms, written as CIF:
```
data_NbGaS3
_space_group_name_H-M_alt 'P m -3 m'
_space_group_IT_number 221
_space_group_name_Hall '-P 4 2 3'
_cell_length_a 4.840
_cell_length_b 4.840
_cell_length_c 4.840
_cell_angle_alpha 90.00
_cell_angle_beta 90.00
_cell_angle_gamma 90.00
loop_
_atom_site_label
_atom_site_fract_x
_atom_site_fract_y
_atom_site_fract_z
_atom_site_occupancy
Nb1 0.000 0.000 0.000 1
Ga1 0.500 0.500 0.500 1
S1 0.000 0.000 0.500 1
```

=====

ii.
Crystalline NbGaS3 at its relaxed geometry. Source: Alexandria, functional PBE-GGA.

Cell and atoms, written as CIF:
```
data_NbGaS3
_space_group_name_H-M_alt 'P m -3 m'
_space_group_IT_number 221
_space_group_name_Hall '-P 4 2 3'
_cell_length_a 4.601
_cell_length_b 4.601
_cell_length_c 4.601
_cell_angle_alpha 90.00
_cell_angle_beta 90.00
_cell_angle_gamma 90.00
loop_
_atom_site_label
_atom_site_fract_x
_atom_site_fract_y
_atom_site_fract_z
_atom_site_occupancy
Nb1 0.000 0.000 0.000 1
Ga1 0.500 0.500 0.500 1
S1 0.000 0.500 0.500 1
```

=====

iii.
Crystalline NbGaS3 at its relaxed geometry. Source: Alexandria, functional PBE-GGA.

Cell and atoms, written as CIF:
```
data_NbGaS3
_space_group_name_H-M_alt 'P n m a'
_space_group_IT_number 62
_cell_length_a 10.377
_cell_length_b 3.503
_cell_length_c 12.523
_cell_angle_alpha 90.00
_cell_angle_beta 90.00
_cell_angle_gamma 90.00
loop_
_space_group_symop_operation_xyz
'x,y,z'
'-x,-y,-z'
'-x+1/2,-y,z+1/2'
'x+1/2,y,-z+1/2'
'x+1/2,-y+1/2,-z+1/2'
'-x+1/2,y+1/2,z+1/2'
'-x,y+1/2,-z'
'x,-y+1/2,z'
loop_
_atom_site_label
_atom_site_fract_x
_atom_site_fract_y
_atom_site_fract_z
_atom_site_occupancy
Nb1 0.067 0.250 0.082 1
Ga1 0.214 0.750 0.276 1
S1 0.078 0.250 0.300 1
S2 0.101 0.250 0.886 1
S3 0.246 0.750 0.096 1
```

=====

What should be chosen as the least stable of them? Choose ii.

=====

i.
Crystalline NbGa3S at its relaxed geometry. Source: Alexandria, functional PBE-GGA.

Cell and atoms, written as CIF:
```
data_NbGa3S
_space_group_name_H-M_alt 'P m -3 m'
_space_group_IT_number 221
_space_group_name_Hall '-P 4 2 3'
_cell_length_a 5.126
_cell_length_b 5.126
_cell_length_c 5.126
_cell_angle_alpha 90.00
_cell_angle_beta 90.00
_cell_angle_gamma 90.00
loop_
_atom_site_label
_atom_site_fract_x
_atom_site_fract_y
_atom_site_fract_z
_atom_site_occupancy
Nb1 0.000 0.000 0.000 1
Ga1 0.000 0.000 0.500 1
S1 0.500 0.500 0.500 1
```

=====

ii.
Crystalline NbGa3S at its relaxed geometry. Source: Alexandria, functional PBE-GGA.

Cell and atoms, written as CIF:
```
data_NbGa3S
_space_group_name_H-M_alt 'P m -3 m'
_space_group_IT_number 221
_space_group_name_Hall '-P 4 2 3'
_cell_length_a 4.655
_cell_length_b 4.655
_cell_length_c 4.655
_cell_angle_alpha 90.00
_cell_angle_beta 90.00
_cell_angle_gamma 90.00
loop_
_atom_site_label
_atom_site_fract_x
_atom_site_fract_y
_atom_site_fract_z
_atom_site_occupancy
Nb1 0.000 0.000 0.000 1
Ga1 0.000 0.500 0.500 1
S1 0.500 0.500 0.500 1
```

=====

What should be chosen as the least stable of them? Choose i.

=====

i.
Crystalline Nb2GaSb at its relaxed geometry. Source: Alexandria, functional PBE-GGA.

Cell and atoms, written as CIF:
```
data_Nb2GaSb
_space_group_name_H-M_alt 'F m -3 m'
_space_group_IT_number 225
_space_group_name_Hall '-F 4 2 3'
_cell_length_a 6.661
_cell_length_b 6.661
_cell_length_c 6.661
_cell_angle_alpha 90.00
_cell_angle_beta 90.00
_cell_angle_gamma 90.00
loop_
_atom_site_label
_atom_site_fract_x
_atom_site_fract_y
_atom_site_fract_z
_atom_site_occupancy
Nb1 0.250 0.250 0.250 1
Ga1 0.000 0.000 0.000 1
Sb1 0.000 0.000 0.500 1
```

=====

ii.
Crystalline Nb2GaSb at its relaxed geometry. Source: Alexandria, functional PBE-GGA.

Cell and atoms, written as CIF:
```
data_Nb2GaSb
_space_group_name_H-M_alt 'I -4 2 d'
_space_group_IT_number 122
_space_group_name_Hall 'I -4 2bw'
_cell_length_a 4.041
_cell_length_b 4.041
_cell_length_c 19.897
_cell_angle_alpha 90.00
_cell_angle_beta 90.00
_cell_angle_gamma 90.00
loop_
_atom_site_label
_atom_site_fract_x
_atom_site_fract_y
_atom_site_fract_z
_atom_site_occupancy
Nb1 0.231 0.250 0.125 1
Ga1 0.000 0.000 0.000 1
Sb1 0.000 0.000 0.500 1
```

=====

What should be chosen as the least stable of them? Choose ii.

=====

i.
Crystalline NbGaSb3 at its relaxed geometry. Source: Alexandria, functional PBE-GGA.

Cell and atoms, written as CIF:
```
data_NbGaSb3
_space_group_name_H-M_alt 'P m -3 m'
_space_group_IT_number 221
_space_group_name_Hall '-P 4 2 3'
_cell_length_a 5.390
_cell_length_b 5.390
_cell_length_c 5.390
_cell_angle_alpha 90.00
_cell_angle_beta 90.00
_cell_angle_gamma 90.00
loop_
_atom_site_label
_atom_site_fract_x
_atom_site_fract_y
_atom_site_fract_z
_atom_site_occupancy
Nb1 0.000 0.000 0.000 1
Ga1 0.500 0.500 0.500 1
Sb1 0.000 0.000 0.500 1
```

=====

ii.
Crystalline NbGaSb3 at its relaxed geometry. Source: Alexandria, functional PBE-GGA.

Cell and atoms, written as CIF:
```
data_NbGaSb3
_space_group_name_H-M_alt 'P m -3 m'
_space_group_IT_number 221
_space_group_name_Hall '-P 4 2 3'
_cell_length_a 5.161
_cell_length_b 5.161
_cell_length_c 5.161
_cell_angle_alpha 90.00
_cell_angle_beta 90.00
_cell_angle_gamma 90.00
loop_
_atom_site_label
_atom_site_fract_x
_atom_site_fract_y
_atom_site_fract_z
_atom_site_occupancy
Nb1 0.000 0.000 0.000 1
Ga1 0.500 0.500 0.500 1
Sb1 0.000 0.500 0.500 1
```

=====

What should be chosen as the least stable of them? Choose ii.

=====

i.
Crystalline Nb3GaSb at its relaxed geometry. Source: Alexandria, functional PBE-GGA.

Cell and atoms, written as CIF:
```
data_Nb3GaSb
_space_group_name_H-M_alt 'P m -3 m'
_space_group_IT_number 221
_space_group_name_Hall '-P 4 2 3'
_cell_length_a 4.770
_cell_length_b 4.770
_cell_length_c 4.770
_cell_angle_alpha 90.00
_cell_angle_beta 90.00
_cell_angle_gamma 90.00
loop_
_atom_site_label
_atom_site_fract_x
_atom_site_fract_y
_atom_site_fract_z
_atom_site_occupancy
Nb1 0.000 0.000 0.500 1
Ga1 0.000 0.000 0.000 1
Sb1 0.500 0.500 0.500 1
```

=====

ii.
Crystalline Nb3GaSb at its relaxed geometry. Source: Alexandria, functional PBE-GGA.

Cell and atoms, written as CIF:
```
data_Nb3GaSb
_space_group_name_H-M_alt 'P -1'
_space_group_IT_number 2
_cell_length_a 3.488
_cell_length_b 7.275
_cell_length_c 7.715
_cell_angle_alpha 84.96
_cell_angle_beta 89.95
_cell_angle_gamma 76.48
loop_
_space_group_symop_operation_xyz
'x,y,z'
'-x,-y,-z'
loop_
_atom_site_label
_atom_site_fract_x
_atom_site_fract_y
_atom_site_fract_z
_atom_site_occupancy
Nb1 0.027 0.442 0.221 1
Nb2 0.227 0.035 0.799 1
Nb3 0.402 0.671 0.417 1
Ga1 0.200 0.110 0.421 1
Sb1 0.393 0.718 0.037 1
```

=====

iii.
Crystalline Nb3GaSb at its relaxed geometry. Source: Alexandria, functional PBE-GGA.

Cell and atoms, written as CIF:
```
data_Nb3GaSb
_space_group_name_H-M_alt 'P m -3 m'
_space_group_IT_number 221
_space_group_name_Hall '-P 4 2 3'
_cell_length_a 5.037
_cell_length_b 5.037
_cell_length_c 5.037
_cell_angle_alpha 90.00
_cell_angle_beta 90.00
_cell_angle_gamma 90.00
loop_
_atom_site_label
_atom_site_fract_x
_atom_site_fract_y
_atom_site_fract_z
_atom_site_occupancy
Nb1 0.000 0.000 0.500 1
Ga1 0.500 0.500 0.500 1
Sb1 0.000 0.000 0.000 1
```

=====

What should be chosen as the least stable of them? Choose iii.

=====

i.
Crystalline ScNbGa at its relaxed geometry. Source: Alexandria, functional PBE-GGA.

Cell and atoms, written as CIF:
```
data_ScNbGa
_space_group_name_H-M_alt 'I 4 m m'
_space_group_IT_number 107
_space_group_name_Hall 'I 4 -2'
_cell_length_a 2.923
_cell_length_b 2.923
_cell_length_c 13.077
_cell_angle_alpha 90.00
_cell_angle_beta 90.00
_cell_angle_gamma 90.00
loop_
_atom_site_label
_atom_site_fract_x
_atom_site_fract_y
_atom_site_fract_z
_atom_site_occupancy
Sc1 0.000 0.000 0.000 1
Nb1 0.000 0.000 0.318 1
Ga1 0.000 0.000 0.665 1
```

=====

ii.
Crystalline ScNbGa at its relaxed geometry. Source: Alexandria, functional PBE-GGA.

Cell and atoms, written as CIF:
```
data_ScNbGa
_space_group_name_H-M_alt 'I 4/m m m'
_space_group_IT_number 139
_space_group_name_Hall '-I 4 2'
_cell_length_a 3.394
_cell_length_b 3.394
_cell_length_c 21.654
_cell_angle_alpha 90.00
_cell_angle_beta 90.00
_cell_angle_gamma 90.00
loop_
_atom_site_label
_atom_site_fract_x
_atom_site_fract_y
_atom_site_fract_z
_atom_site_occupancy
Sc1 0.000 0.000 0.074 1
Nb1 0.000 0.000 0.216 1
Ga1 0.000 0.000 0.350 1
```

=====

What should be chosen as the least stable of them? Choose ii.